! AlCdPO, relaxed, DFT PBE; values from VASP
! Excess energy over the best structure of this formula in the dataset, eV per atom: 0.208
! SG: No. 26
! Final energy, eV/atom: -4.7103
&SYSTEM
  ibrav = 0, nat = 8, ntyp = 4
/
ATOMIC_SPECIES
P 30.97 P.upf
Al 26.98 Al.upf
Cd 112.41 Cd.upf
O 16.00 O.upf
CELL_PARAMETERS angstrom
3.004 0.000 0.000
0.000 6.965 0.000
0.000 0.000 6.653
ATOMIC_POSITIONS angstrom
P 0.000 2.657 2.164
P 0.000 4.308 5.490
Al 0.000 2.169 6.503
Al 0.000 4.795 3.177
Cd 1.502 5.991 0.269
Cd 1.502 0.973 3.596
O 1.502 1.301 6.060
O 1.502 5.663 2.733

! RbPrCoTe3, relaxed, DFT PBE; values from VASP
! Excess energy over the best structure of this formula in the dataset, eV per atom: 0.000
! SG: No. 63
! Final energy, eV/atom: -4.5463
&SYSTEM
  ibrav = 0, nat = 12, ntyp = 4
/
ATOMIC_SPECIES
Te 127.60 Te.upf
Co 58.93 Co.upf
Pr 140.91 Pr.upf
Rb 85.47 Rb.upf
CELL_PARAMETERS angstrom
8.220 -2.200 0.000
8.220 2.200 0.000
0.000 0.000 11.934
ATOMIC_POSITIONS angstrom
Te 10.310 0.000 6.875
Te 6.130 0.000 5.060
Te 1.014 0.000 2.984
Te 6.130 0.000 0.907
Te 15.426 0.000 8.951
Te 10.310 0.000 11.027
Co 8.748 0.000 8.951
Co 7.692 0.000 2.984
Pr 0.000 0.000 5.967
Pr 0.000 0.000 0.000
Rb 12.202 0.000 2.984
Rb 4.238 0.000 8.951

! YLuMgPd, relaxed, DFT PBE; values from VASP
! Excess energy over the best structure of this formula in the dataset, eV per atom: 0.173
! SG: No. 216
! Final energy, eV/atom: -4.6806
&SYSTEM
  ibrav = 0, nat = 4, ntyp = 4
/
ATOMIC_SPECIES
Pd 106.42 Pd.upf
Y 88.91 Y.upf
Mg 24.30 Mg.upf
Lu 174.97 Lu.upf
CELL_PARAMETERS angstrom
-1.482 1.462 4.520
-4.498 2.041 0.605
-3.573 -2.515 2.381
ATOMIC_POSITIONS angstrom
Pd -4.777 0.494 3.753
Y 0.000 0.000 0.000
Mg -7.165 0.740 5.630
Lu -2.388 0.247 1.877

! Tb3Mg3TlIn2, relaxed, DFT PBE; values from VASP
! SG: No. 189
! Final energy, eV/atom: -3.3100
&SYSTEM
  ibrav = 0, nat = 9, ntyp = 4
/
ATOMIC_SPECIES
In 114.82 In.upf
Tb 158.93 Tb.upf
Mg 24.30 Mg.upf
Tl 204.38 Tl.upf
CELL_PARAMETERS angstrom
7.548 0.000 0.000
-3.774 6.537 0.000
0.000 0.000 4.669
ATOMIC_POSITIONS angstrom
In 3.774 2.179 2.335
In 0.000 4.358 2.335
Tb -2.147 3.718 0.000
Tb 1.628 2.819 0.000
Tb 4.293 0.000 0.000
Mg 2.857 4.949 2.335
Mg -0.917 1.588 2.335
Mg 1.834 0.000 2.335
Tl 0.000 0.000 0.000

! NdSmInCo2, relaxed, DFT PBE; values from VASP
! SG: No. 38
! Final energy, eV/atom: -5.5588
&SYSTEM
  ibrav = 0, nat = 5, ntyp = 4
/
ATOMIC_SPECIES
Co 58.93 Co.upf
Nd 144.24 Nd.upf
Sm 150.36 Sm.upf
In 114.82 In.upf
CELL_PARAMETERS angstrom
4.045 0.000 0.000
0.000 1.945 7.062
0.000 -1.945 7.062
ATOMIC_POSITIONS angstrom
Co 0.000 0.000 2.954
Co 0.000 0.000 11.181
Nd 2.023 0.000 8.990
Sm 2.023 0.000 5.131
In 0.000 0.000 14.119

! KReGe, relaxed, DFT PBE; values from VASP
! Excess energy over the best structure of this formula in the dataset, eV per atom: 0.000
! SG: No. 216
! Final energy, eV/atom: -4.4781
&SYSTEM
  ibrav = 0, nat = 3, ntyp = 3
/
ATOMIC_SPECIES
Ge 72.64 Ge.upf
K 39.10 K.upf
Re 186.21 Re.upf
CELL_PARAMETERS angstrom
-3.560 -2.347 1.717
-2.098 1.472 3.815
-4.241 1.756 -0.241
ATOMIC_POSITIONS angstrom
Ge 0.000 0.000 0.000
K -2.475 0.220 1.323
Re -7.424 0.661 3.968

! NbSiB4, relaxed, DFT PBE; values from VASP
! Excess energy over the best structure of this formula in the dataset, eV per atom: 0.000
! SG: No. 191
! Final energy, eV/atom: -7.0996
&SYSTEM
  ibrav = 0, nat = 6, ntyp = 3
/
ATOMIC_SPECIES
B 10.81 B.upf
Si 28.09 Si.upf
Nb 92.91 Nb.upf
CELL_PARAMETERS angstrom
3.027 0.000 0.000
-1.514 2.622 0.000
0.000 0.000 7.009
ATOMIC_POSITIONS angstrom
B 0.000 1.748 5.269
B 0.000 1.748 1.739
B 1.514 0.874 1.739
B 1.514 0.874 5.269
Si 0.000 0.000 0.000
Nb 0.000 0.000 3.504

! DyCuAgS3, relaxed, DFT PBE; values from VASP
! SG: No. 63
! Final energy, eV/atom: -4.7241
&SYSTEM
  ibrav = 0, nat = 12, ntyp = 4
/
ATOMIC_SPECIES
Ag 107.87 Ag.upf
Dy 162.50 Dy.upf
S 32.06 S.upf
Cu 63.55 Cu.upf
CELL_PARAMETERS angstrom
2.973 5.705 0.013
-5.426 -3.147 -1.429
-3.568 1.837 9.500
ATOMIC_POSITIONS angstrom
Ag -5.726 0.734 6.104
Ag -0.295 3.661 1.980
Dy -1.227 1.279 -0.708
Dy -3.011 2.198 4.042
S -2.873 0.943 1.537
S -4.504 -1.739 -0.485
S -1.517 6.135 8.569
S -5.733 -1.107 2.788
S -0.288 5.502 5.296
S -3.148 3.452 6.547
Cu -6.137 -2.497 0.977
Cu 0.116 6.892 7.107

! FeMoCl6, relaxed, DFT PBE; values from VASP
! Excess energy over the best structure of this formula in the dataset, eV per atom: 0.079
! SG: No. 2
! Final energy, eV/atom: -4.4732
&SYSTEM
  ibrav = 0, nat = 8, ntyp = 3
/
ATOMIC_SPECIES
Cl 35.45 Cl.upf
Fe 55.84 Fe.upf
Mo 95.94 Mo.upf
CELL_PARAMETERS angstrom
-2.385 -2.685 -4.891
5.269 -1.977 2.271
-2.892 -1.066 5.758
ATOMIC_POSITIONS angstrom
Cl -0.240 -3.295 3.232
Cl -2.846 -3.567 0.765
Cl 0.232 -2.432 -0.094
Cl -2.233 -2.707 -2.454
Cl 2.225 -3.021 5.592
Cl 2.837 -2.161 2.372
Fe 0.000 0.000 0.000
Mo 1.189 -1.522 4.014

! TaCoCu2, relaxed, DFT PBE; values from VASP
! Energy relative to the elements, eV/atom: 0.08
! SG: No. 216
! Final energy, eV/atom: -6.5176
&SYSTEM
  ibrav = 0, nat = 4, ntyp = 3
/
ATOMIC_SPECIES
Cu 63.55 Cu.upf
Co 58.93 Co.upf
Ta 180.95 Ta.upf
CELL_PARAMETERS angstrom
-2.197 -3.423 0.997
-4.176 0.192 0.250
-2.360 -1.890 -2.897
ATOMIC_POSITIONS angstrom
Cu 0.000 0.000 0.000
Cu -6.550 -3.841 -1.238
Co -2.183 -1.280 -0.413
Ta -4.367 -2.560 -0.825

! NdHfMg, relaxed, DFT PBE; values from VASP
! Excess energy over the best structure of this formula in the dataset, eV per atom: 0.000
! SG: No. 216
! Final energy, eV/atom: -4.6862
&SYSTEM
  ibrav = 0, nat = 3, ntyp = 3
/
ATOMIC_SPECIES
Nd 144.24 Nd.upf
Hf 178.49 Hf.upf
Mg 24.30 Mg.upf
CELL_PARAMETERS angstrom
0.000 3.552 3.552
3.552 0.000 3.552
3.552 3.552 0.000
ATOMIC_POSITIONS angstrom
Nd 5.327 5.327 5.327
Hf 1.776 1.776 1.776
Mg 0.000 0.000 0.000

! RbNdCoSe3, relaxed, DFT PBE; values from VASP
! SG: No. 62
! Final energy, eV/atom: -5.0235
&SYSTEM
  ibrav = 0, nat = 24, ntyp = 4
/
ATOMIC_SPECIES
Co 58.93 Co.upf
Se 78.96 Se.upf
Rb 85.47 Rb.upf
Nd 144.24 Nd.upf
CELL_PARAMETERS angstrom
11.243 0.000 0.000
0.000 4.197 0.000
0.000 0.000 15.359
ATOMIC_POSITIONS angstrom
Co 8.541 1.049 3.320
Co 2.702 3.148 12.039
Co 2.919 1.049 4.360
Co 8.324 3.148 10.999
Se 4.616 3.148 13.483
Se 6.627 1.049 1.876
Se 2.736 1.049 10.639
Se 2.886 3.148 2.959
Se 10.238 3.148 9.555
Se 4.928 1.049 5.665
Se 10.549 1.049 2.015
Se 6.316 3.148 9.694
Se 8.508 3.148 4.720
Se 8.357 1.049 12.399
Se 0.694 3.148 13.344
Se 1.006 1.049 5.804
Rb 2.584 1.049 0.139
Rb 3.038 3.148 7.818
Rb 8.205 1.049 7.541
Rb 8.659 3.148 15.220
Nd 0.105 3.148 3.943
Nd 5.516 1.049 11.622
Nd 11.138 1.049 11.416
Nd 5.727 3.148 3.737

! Co2Pd, relaxed, DFT PBE; values from VASP
! Energy relative to the elements, eV/atom: 2.81
! SG: No. 227
! Final energy, eV/atom: -3.6516
&SYSTEM
  ibrav = 0, nat = 6, ntyp = 2
/
ATOMIC_SPECIES
Co 58.93 Co.upf
Pd 106.42 Pd.upf
CELL_PARAMETERS angstrom
-0.828 1.194 7.432
2.936 6.210 3.187
-4.570 5.513 2.463
ATOMIC_POSITIONS angstrom
Co -2.592 4.371 2.867
Co 1.160 4.720 3.229
Co -0.308 1.615 1.635
Co -0.722 2.212 5.351
Pd 0.000 0.000 0.000
Pd -0.615 3.229 3.270

! Ba6Na2Nb2P2O17, relaxed, DFT PBE; values from VASP
! SG: No. 164
! Final energy, eV/atom: -7.2031
&SYSTEM
  ibrav = 0, nat = 29, ntyp = 5
/
ATOMIC_SPECIES
O 16.00 O.upf
Nb 92.91 Nb.upf
Ba 137.33 Ba.upf
Na 22.99 Na.upf
P 30.97 P.upf
CELL_PARAMETERS angstrom
5.823 0.000 0.000
-2.912 5.043 0.000
0.000 0.000 14.597
ATOMIC_POSITIONS angstrom
O 1.526 0.881 4.936
O 1.645 0.949 12.505
O 1.456 2.522 7.299
O 0.000 1.763 9.662
O 4.179 0.949 12.505
O 2.912 3.281 4.936
O -1.385 4.162 9.662
O 1.385 4.162 9.662
O -1.456 2.522 7.299
O -1.267 4.094 2.092
O 2.912 0.000 7.299
O 0.000 3.362 14.591
O 0.000 1.899 2.092
O 1.267 4.094 2.092
O 4.297 0.881 4.936
O 2.912 1.681 0.006
O 2.912 3.144 12.505
Nb 0.000 3.362 8.585
Nb 2.912 1.681 6.012
Ba 0.000 0.000 0.000
Ba 0.000 3.362 11.960
Ba 2.912 1.681 2.638
Ba 0.000 0.000 7.299
Ba 0.000 3.362 4.993
Ba 2.912 1.681 9.605
Na 0.000 0.000 11.023
Na 0.000 0.000 3.574
P 0.000 3.362 1.529
P 2.912 1.681 13.068

! LaPr3Au4, relaxed, DFT PBE; values from VASP
! Energy relative to the elements, eV/atom: -0.81
! SG: No. 6
! Final energy, eV/atom: -4.8461
&SYSTEM
  ibrav = 0, nat = 8, ntyp = 3
/
ATOMIC_SPECIES
Pr 140.91 Pr.upf
Au 196.97 Au.upf
La 138.91 La.upf
CELL_PARAMETERS angstrom
-2.627 3.526 -3.953
-4.216 -0.543 2.317
1.598 5.946 4.301
ATOMIC_POSITIONS angstrom
Pr 0.363 6.097 2.090
Pr -3.272 6.821 0.703
Pr 0.134 2.386 0.803
Au -0.967 5.038 -0.579
Au -2.432 0.490 0.748
Au -2.163 4.188 2.104
Au -0.712 8.691 0.742
La -3.500 3.092 -0.586

! Ho3Mg3CdIr2, relaxed, DFT PBE; values from VASP
! SG: No. 189
! Final energy, eV/atom: -4.6122
&SYSTEM
  ibrav = 0, nat = 9, ntyp = 4
/
ATOMIC_SPECIES
Ho 164.93 Ho.upf
Mg 24.30 Mg.upf
Ir 192.22 Ir.upf
Cd 112.41 Cd.upf
CELL_PARAMETERS angstrom
7.417 0.000 0.000
-3.708 6.423 0.000
0.000 0.000 4.087
ATOMIC_POSITIONS angstrom
Ho 3.150 0.000 0.000
Ho 2.133 3.695 0.000
Ho -1.575 2.728 0.000
Mg 5.491 0.000 2.044
Mg 0.963 1.668 2.044
Mg -2.745 4.755 2.044
Ir 3.708 2.141 2.044
Ir 0.000 4.282 2.044
Cd 0.000 0.000 0.000

! Tb5Ag4Au, relaxed, DFT PBE; values from VASP
! Energy relative to the elements, eV/atom: -0.44
! SG: No. 123
! Final energy, eV/atom: -4.2065
&SYSTEM
  ibrav = 0, nat = 10, ntyp = 3
/
ATOMIC_SPECIES
Ag 107.87 Ag.upf
Tb 158.93 Tb.upf
Au 196.97 Au.upf
CELL_PARAMETERS angstrom
3.631 0.000 0.000
0.000 3.631 0.000
0.000 0.000 18.234
ATOMIC_POSITIONS angstrom
Ag 0.000 0.000 7.285
Ag 0.000 0.000 3.641
Ag 0.000 0.000 14.592
Ag 0.000 0.000 10.948
Tb 1.815 1.815 1.770
Tb 1.815 1.815 9.117
Tb 1.815 1.815 16.463
Tb 1.815 1.815 12.784
Tb 1.815 1.815 5.449
Au 0.000 0.000 0.000

! Dy2NiPd, relaxed, DFT PBE; values from VASP
! Energy relative to the elements, eV/atom: -0.67
! Excess energy over the best structure of this formula in the dataset, eV per atom: 0.014
! SG: No. 31
! Final energy, eV/atom: -5.6578
&SYSTEM
  ibrav = 0, nat = 8, ntyp = 3
/
ATOMIC_SPECIES
Pd 106.42 Pd.upf
Dy 162.50 Dy.upf
Ni 58.69 Ni.upf
CELL_PARAMETERS angstrom
4.124 0.000 0.000
0.000 7.280 0.000
0.000 0.000 5.642
ATOMIC_POSITIONS angstrom
Pd 2.062 2.130 4.861
Pd 0.000 5.150 2.040
Dy 0.000 0.472 3.564
Dy 2.062 3.077 2.050
Dy 2.062 6.809 0.742
Dy 0.000 4.203 4.871
Ni 2.062 5.766 3.631
Ni 0.000 1.514 0.810

! HfNbP, relaxed, DFT PBE; values from VASP
! Excess energy over the best structure of this formula in the dataset, eV per atom: 0.539
! SG: No. 194
! Final energy, eV/atom: -8.9767
&SYSTEM
  ibrav = 0, nat = 6, ntyp = 3
/
ATOMIC_SPECIES
Nb 92.91 Nb.upf
Hf 178.49 Hf.upf
P 30.97 P.upf
CELL_PARAMETERS angstrom
4.631 0.000 0.000
-2.316 4.011 0.000
0.000 0.000 5.417
ATOMIC_POSITIONS angstrom
Nb 0.000 0.000 0.000
Nb 0.000 0.000 2.708
Hf 2.316 1.337 1.354
Hf 0.000 2.674 4.063
P 0.000 2.674 1.354
P 2.316 1.337 4.063

! Cs2HgAuBr6, relaxed, DFT PBE; values from VASP
! SG: No. 225
! Final energy, eV/atom: -2.4175
&SYSTEM
  ibrav = 0, nat = 10, ntyp = 4
/
ATOMIC_SPECIES
Au 196.97 Au.upf
Br 79.90 Br.upf
Cs 132.91 Cs.upf
Hg 200.59 Hg.upf
CELL_PARAMETERS angstrom
5.928 -3.950 -3.220
3.075 -6.152 3.717
-1.159 -7.219 -2.768
ATOMIC_POSITIONS angstrom
Au 0.000 0.000 0.000
Br 3.490 -7.381 1.339
Br 4.945 -6.258 -2.199
Br 2.899 -11.062 -0.073
Br 6.513 -9.395 -0.303
Br 1.331 -7.925 -1.968
Br 4.354 -9.939 -3.610
Cs 5.883 -12.990 -1.703
Cs 1.961 -4.330 -0.568
Hg 3.922 -8.660 -1.136

! Rb5PaSe5, relaxed, DFT PBE; values from VASP
! SG: No. 12
! Final energy, eV/atom: -4.1279
&SYSTEM
  ibrav = 0, nat = 11, ntyp = 3
/
ATOMIC_SPECIES
Rb 85.47 Rb.upf
Se 78.96 Se.upf
Pa 231.04 Pa.upf
CELL_PARAMETERS angstrom
-5.551 -6.310 -1.238
0.283 -7.894 -3.125
2.775 -0.360 8.883
ATOMIC_POSITIONS angstrom
Rb 0.319 -4.558 4.813
Rb -1.285 -4.656 -0.064
Rb 1.387 -0.180 4.441
Rb -2.812 -10.006 -0.294
Rb -1.208 -9.908 4.583
Se 1.707 -2.128 7.066
Se -2.569 -12.551 2.595
Se 0.076 -2.013 1.925
Se -2.634 -7.102 -2.182
Se -4.200 -12.436 -2.547
Pa 0.000 0.000 0.000

! PdS2, relaxed, DFT PBE; values from VASP
! SG: No. 129
! Final energy, eV/atom: -4.3590
&SYSTEM
  ibrav = 0, nat = 6, ntyp = 2
/
ATOMIC_SPECIES
S 32.06 S.upf
Pd 106.42 Pd.upf
CELL_PARAMETERS angstrom
3.322 0.000 0.000
0.000 3.322 0.000
0.000 0.000 10.121
ATOMIC_POSITIONS angstrom
S 0.000 1.661 6.772
S 1.661 1.661 0.000
S 1.661 0.000 3.349
S 0.000 0.000 0.000
Pd 0.000 1.661 4.138
Pd 1.661 0.000 5.983